{
  "formula": "BaC2O5",
  "functional": "PBE-GGA",
  "state": "relaxed",
  "lattice": [[5.602, -3.766, 0.000], [5.602, 3.766, 0.000], [-3.019, 0.000, 6.205]],
  "species": ["Ba", "Ba", "C", "C", "C", "C", "O", "O", "O", "O", "O", "O", "O", "O", "O", "O"],
  "fractional_positions": [[0.173, 0.173, 0.274], [0.827, 0.827, 0.726], [0.036, 0.246, 0.754], [0.246, 0.036, 0.754], [0.754, 0.964, 0.246], [0.964, 0.754, 0.246], [0.006, 0.370, 0.639], [0.085, 0.729, 0.130], [0.271, 0.915, 0.870], [0.370, 0.006, 0.639], [0.476, 0.476, 0.566], [0.524, 0.524, 0.434], [0.630, 0.994, 0.361], [0.729, 0.085, 0.130], [0.915, 0.271, 0.870], [0.994, 0.630, 0.361]],
  "raw_formation_energy_ev_per_atom": -1.546,
  "rho_g_cm3": 3.06,
  "final_energy_ev_per_fu": -57.532,
  "magmom_total_mub_per_cell": 2.0,
  "e_above_lowest_polymorph_mev_per_atom": 129.6
}


{
  "formula": "Zn2GaAu7",
  "functional": "PBE-GGA",
  "state": "relaxed",
  "lattice": [[6.961, -3.142, 0.000], [6.961, 3.142, 0.000], [-4.818, 0.000, 8.012]],
  "species": ["Zn", "Zn", "Zn", "Zn", "Ga", "Ga", "Au", "Au", "Au", "Au", "Au", "Au", "Au", "Au", "Au", "Au", "Au", "Au", "Au", "Au"],
  "fractional_positions": [[0.137, 0.267, 0.330], [0.267, 0.137, 0.830], [0.733, 0.863, 0.170], [0.863, 0.733, 0.670], [0.409, 0.591, 0.750], [0.591, 0.409, 0.250], [0.043, 0.719, 0.474], [0.118, 0.882, 0.250], [0.185, 0.424, 0.150], [0.247, 0.564, 0.935], [0.281, 0.957, 0.026], [0.424, 0.185, 0.650], [0.436, 0.753, 0.565], [0.564, 0.247, 0.435], [0.576, 0.815, 0.350], [0.719, 0.043, 0.974], [0.753, 0.436, 0.065], [0.815, 0.576, 0.850], [0.882, 0.118, 0.750], [0.957, 0.281, 0.526]],
  "dos_at_fermi_per_ev_fu": 2.332,
  "formation_energy_ev_per_atom": -0.12,
  "rho_g_cm3": 14.97,
  "final_energy_ev_per_fu": -29.734,
  "magmom_total_mub_per_cell": 0.0,
  "e_above_lowest_polymorph_mev_per_atom": 0.0
}


{
  "formula": "Ta2AlSi",
  "functional": "PBE-GGA",
  "state": "relaxed",
  "lattice": [[2.900, 0.000, 0.000], [0.000, 4.421, 0.000], [-1.434, 0.000, 4.993]],
  "species": ["Ta", "Ta", "Al", "Si"],
  "fractional_positions": [[0.000, 0.000, 0.000], [0.315, 0.500, 0.639], [0.585, 0.500, 0.171], [0.731, 0.000, 0.469]],
  "raw_formation_energy_ev_per_atom": -0.230,
  "dos_at_fermi_per_ev_fu": 2.674,
  "rho_g_cm3": 10.81,
  "final_energy_ev_per_fu": -33.790,
  "magmom_total_mub_per_cell": 0.0,
  "e_above_lowest_polymorph_mev_per_atom": 0.0
}


{
  "formula": "AcSb2S",
  "functional": "PBE-GGA",
  "state": "relaxed",
  "lattice": [[4.247, 0.000, 0.000], [0.000, 4.247, 0.000], [0.000, 0.000, 6.508]],
  "species": ["Ac", "Sb", "Sb", "S"],
  "fractional_positions": [[0.000, 0.000, 0.000], [0.000, 0.500, 0.500], [0.500, 0.000, 0.500], [0.500, 0.500, 0.000]],
  "raw_formation_energy_ev_per_atom": -0.909,
  "dos_at_fermi_per_ev_fu": 3.234,
  "rho_g_cm3": 7.11,
  "final_energy_ev_per_fu": -20.118,
  "magmom_total_mub_per_cell": 0.0
}


{
  "formula": "K2BiPb2",
  "functional": "PBE-GGA",
  "state": "relaxed",
  "lattice": [[9.539, 0.000, 0.000], [0.000, 9.539, 0.000], [0.000, 0.000, 3.941]],
  "species": ["K", "K", "K", "K", "Bi", "Bi", "Pb", "Pb", "Pb", "Pb"],
  "fractional_positions": [[0.182, 0.318, 0.000], [0.318, 0.818, 0.000], [0.682, 0.182, 0.000], [0.818, 0.682, 0.000], [0.000, 0.000, 0.500], [0.500, 0.500, 0.500], [0.118, 0.618, 0.500], [0.382, 0.118, 0.500], [0.618, 0.882, 0.500], [0.882, 0.382, 0.500]],
  "dos_at_fermi_per_ev_fu": 3.106,
  "formation_energy_ev_per_atom": 0.00,
  "rho_g_cm3": 6.50,
  "final_energy_ev_per_fu": -13.515,
  "magmom_total_mub_per_cell": 0.0,
  "e_above_lowest_polymorph_mev_per_atom": 193.9
}


{
  "formula": "Ta6V5Ru",
  "functional": "PBE-GGA",
  "state": "relaxed",
  "lattice": [[-2.243, 3.169, 6.701], [2.243, -3.169, 6.701], [2.243, 3.169, -6.701]],
  "species": ["Ta", "Ta", "Ta", "Ta", "Ta", "Ta", "V", "V", "V", "V", "V", "Ru"],
  "fractional_positions": [[0.082, 0.333, 0.749], [0.249, 0.000, 0.249], [0.416, 0.667, 0.749], [0.584, 0.333, 0.251], [0.751, 0.000, 0.751], [0.918, 0.667, 0.251], [0.000, 0.500, 0.500], [0.165, 0.165, 0.000], [0.330, 0.830, 0.500], [0.670, 0.170, 0.500], [0.835, 0.835, 0.000], [0.500, 0.500, 0.000]],
  "dos_at_fermi_per_ev_fu": 16.989,
  "formation_energy_ev_per_atom": -0.10,
  "rho_g_cm3": 12.56,
  "final_energy_ev_per_fu": -127.174,
  "magmom_total_mub_per_cell": 0.0
}